Below is a PBEsol-optimized structure of Te2HIr2, with properties calculated at the meta-GGA SCAN level.

CIF file:
```
data_Te2HIr2
_chemical_formula_sum 'Te4 H2 Ir4'
_cell_length_a 5.283
_cell_length_b 5.283
_cell_length_c 6.195
_cell_angle_alpha 90.00
_cell_angle_beta 90.00
_cell_angle_gamma 90.00
_symmetry_space_group_name_H-M 'I 4/m m m'
_symmetry_Int_Tables_number 139
_symmetry_space_group_name_Hall '-I 4 2'
loop_
_atom_site_label
_atom_site_fract_x
_atom_site_fract_y
_atom_site_fract_z
_atom_site_occupancy
Te1 0.000 0.500 0.250 1
H1 0.000 0.000 0.000 1
Ir1 0.000 0.000 0.289 1
```

Properties
The value obtained for the density of states at the Fermi level is 2.686 states/eV/f.u. For the total energy, the calculation gives -438.35 eV per cell.


Below is a PBEsol-optimized structure of Ni2MoRh, with properties calculated at the meta-GGA SCAN level.

CIF file:
```
data_Ni2MoRh
_chemical_formula_sum 'Ni2 Mo1 Rh1'
_cell_length_a 2.642
_cell_length_b 3.628
_cell_length_c 5.168
_cell_angle_alpha 90.00
_cell_angle_beta 90.00
_cell_angle_gamma 90.00
_symmetry_space_group_name_H-M 'P m m 2'
_symmetry_Int_Tables_number 25
loop_
_symmetry_equiv_pos_as_xyz
'x,y,z'
'-x,-y,z'
'-x,y,z'
'x,-y,z'
loop_
_atom_site_label
_atom_site_fract_x
_atom_site_fract_y
_atom_site_fract_z
_atom_site_occupancy
Ni1 0.000 0.000 0.000 1
Ni2 0.500 0.500 0.220 1
Mo1 0.500 0.500 0.750 1
Rh1 0.000 0.000 0.484 1
```

Properties
For the energy relative to the elements, the calculation gives -0.043 eV/atom. The value obtained for the density of states at the Fermi level is 3.209 states/eV/f.u.


Below is a PBEsol-optimized structure of LiSiTe2, with properties calculated at the meta-GGA SCAN level.

CIF file:
```
data_LiSiTe2
_chemical_formula_sum 'Li4 Si4 Te8'
_cell_length_a 6.134
_cell_length_b 6.134
_cell_length_c 12.905
_cell_angle_alpha 90.00
_cell_angle_beta 90.00
_cell_angle_gamma 90.00
_symmetry_space_group_name_H-M 'I -4 2 d'
_symmetry_Int_Tables_number 122
_symmetry_space_group_name_Hall 'I -4 2bw'
loop_
_atom_site_label
_atom_site_fract_x
_atom_site_fract_y
_atom_site_fract_z
_atom_site_occupancy
Li1 0.000 0.000 0.000 1
Si1 0.000 0.000 0.500 1
Te1 0.233 0.250 0.625 1
```

Properties
The value obtained for the density of states at the Fermi level is 2.608 states/eV/f.u. The uncorrected formation energy comes out at -0.221 eV/atom.


Below is a PBEsol-optimized structure of RbGaH4, with properties calculated at the meta-GGA SCAN level.

CIF file:
```
data_RbGaH4
_chemical_formula_sum 'Rb4 Ga4 H16'
_cell_length_a 9.170
_cell_length_b 5.480
_cell_length_c 7.283
_cell_angle_alpha 90.00
_cell_angle_beta 90.00
_cell_angle_gamma 90.00
_symmetry_space_group_name_H-M 'P n m a'
_symmetry_Int_Tables_number 62
loop_
_symmetry_equiv_pos_as_xyz
'x,y,z'
'-x,-y,-z'
'-x+1/2,-y,z+1/2'
'x+1/2,y,-z+1/2'
'x+1/2,-y+1/2,-z+1/2'
'-x+1/2,y+1/2,z+1/2'
'-x,y+1/2,-z'
'x,-y+1/2,z'
loop_
_atom_site_label
_atom_site_fract_x
_atom_site_fract_y
_atom_site_fract_z
_atom_site_occupancy
Rb1 0.179 0.250 0.166 1
Ga1 0.068 0.250 0.692 1
H1 0.084 0.016 0.821 1
H2 0.088 0.750 0.401 1
H3 0.199 0.250 0.549 1
```

Properties
The value obtained for the density of states at the Fermi level is 0.000 states/eV/f.u. For the total energy, the calculation gives -209.75 eV per cell.


Below is a PBEsol-optimized structure of HfGeTe, with properties calculated at the meta-GGA SCAN level.

CIF file:
```
data_HfGeTe
_chemical_formula_sum 'Hf2 Ge2 Te2'
_cell_length_a 3.842
_cell_length_b 3.842
_cell_length_c 8.394
_cell_angle_alpha 90.00
_cell_angle_beta 90.00
_cell_angle_gamma 90.00
_symmetry_space_group_name_H-M 'P 4/n m m'
_symmetry_Int_Tables_number 129
loop_
_symmetry_equiv_pos_as_xyz
'x,y,z'
'-x,-y,-z'
'-y+1/2,x,z'
'y+1/2,-x,-z'
'-x+1/2,-y+1/2,z'
'x+1/2,y+1/2,-z'
'y,-x+1/2,z'
'-y,x+1/2,-z'
'x+1/2,-y,-z'
'-x+1/2,y,z'
'-y,-x,-z'
'y,x,z'
'-x,y+1/2,-z'
'x,-y+1/2,z'
'y+1/2,x+1/2,-z'
'-y+1/2,-x+1/2,z'
loop_
_atom_site_label
_atom_site_fract_x
_atom_site_fract_y
_atom_site_fract_z
_atom_site_occupancy
Hf1 0.250 0.250 0.248 1
Ge1 0.250 0.750 0.000 1
Te1 0.250 0.250 0.620 1
```

Properties
The value obtained for the density of states at the Fermi level is 0.476 states/eV/f.u. The uncorrected formation energy comes out at -0.708 eV/atom.


Below is a PBEsol-optimized structure of Ni2H2Ir, with properties calculated at the meta-GGA SCAN level.

CIF file:
```
data_Ni2H2Ir
_chemical_formula_sum 'Ni4 H4 Ir2'
_cell_length_a 2.670
_cell_length_b 2.670
_cell_length_c 11.291
_cell_angle_alpha 90.00
_cell_angle_beta 90.00
_cell_angle_gamma 90.00
_symmetry_space_group_name_H-M 'I 4/m m m'
_symmetry_Int_Tables_number 139
_symmetry_space_group_name_Hall '-I 4 2'
loop_
_atom_site_label
_atom_site_fract_x
_atom_site_fract_y
_atom_site_fract_z
_atom_site_occupancy
Ni1 0.000 0.000 0.159 1
H1 0.000 0.500 0.250 1
Ir1 0.000 0.000 0.500 1
```

Properties
The value obtained for the density of states at the Fermi level is 2.904 states/eV/f.u. For the total energy, the calculation gives -220.00 eV per cell.


Below is a PBEsol-optimized structure of Ba2MgZn2, with properties calculated at the meta-GGA SCAN level.

CIF file:
```
data_Ba2MgZn2
_chemical_formula_sum 'Ba4 Mg2 Zn4'
_cell_length_a 7.913
_cell_length_b 7.913
_cell_length_c 4.990
_cell_angle_alpha 90.00
_cell_angle_beta 90.00
_cell_angle_gamma 90.00
_symmetry_space_group_name_H-M 'P 4/m b m'
_symmetry_Int_Tables_number 127
_symmetry_space_group_name_Hall '-P 4 2ab'
loop_
_atom_site_label
_atom_site_fract_x
_atom_site_fract_y
_atom_site_fract_z
_atom_site_occupancy
Ba1 0.187 0.313 0.000 1
Mg1 0.000 0.000 0.500 1
Zn1 0.113 0.613 0.500 1
```

Properties
For the energy relative to the elements, the calculation gives -0.104 eV/atom. The value obtained for the density of states at the Fermi level is 4.345 states/eV/f.u.


Below is a PBEsol-optimized structure of Sm2CoPtO6, with properties calculated at the meta-GGA SCAN level.

CIF file:
```
data_Sm2CoPtO6
_chemical_formula_sum 'Sm4 Co2 Pt2 O12'
_cell_length_a 5.263
_cell_length_b 5.851
_cell_length_c 9.210
_cell_angle_alpha 90.00
_cell_angle_beta 124.73
_cell_angle_gamma 90.00
_symmetry_space_group_name_H-M 'P 1 21/c 1'
_symmetry_Int_Tables_number 14
loop_
_symmetry_equiv_pos_as_xyz
'x,y,z'
'-x,-y,-z'
'-x,y+1/2,-z+1/2'
'x,-y+1/2,z+1/2'
loop_
_atom_site_label
_atom_site_fract_x
_atom_site_fract_y
_atom_site_fract_z
_atom_site_occupancy
Sm1 0.223 0.080 0.250 1
Co1 0.000 0.000 0.500 1
Pt1 0.500 0.000 0.000 1
O1 0.130 0.193 0.947 1
O2 0.265 0.696 0.948 1
O3 0.354 0.038 0.744 1
```

Properties
The uncorrected formation energy comes out at -2.425 eV/atom.


Below is a PBEsol-optimized structure of HgBiN2F, with properties calculated at the meta-GGA SCAN level.

CIF file:
```
data_HgBiN2F
_chemical_formula_sum 'Hg1 Bi1 N2 F1'
_cell_length_a 4.351
_cell_length_b 4.351
_cell_length_c 4.332
_cell_angle_alpha 90.00
_cell_angle_beta 90.00
_cell_angle_gamma 90.00
_symmetry_space_group_name_H-M 'P 4/m m m'
_symmetry_Int_Tables_number 123
_symmetry_space_group_name_Hall '-P 4 2'
loop_
_atom_site_label
_atom_site_fract_x
_atom_site_fract_y
_atom_site_fract_z
_atom_site_occupancy
Hg1 0.000 0.000 0.000 1
Bi1 0.500 0.500 0.500 1
N1 0.000 0.500 0.500 1
F1 0.500 0.500 0.000 1
```

Properties
The value obtained for the density of states at the Fermi level is 1.243 states/eV/f.u. The uncorrected formation energy comes out at 0.846 eV/atom.


Below is a PBEsol-optimized structure of CsTl2OsSe, with properties calculated at the meta-GGA SCAN level.

CIF file:
```
data_CsTl2OsSe
_chemical_formula_sum 'Cs1 Tl2 Os1 Se1'
_cell_length_a 5.222
_cell_length_b 5.222
_cell_length_c 5.501
_cell_angle_alpha 90.00
_cell_angle_beta 90.00
_cell_angle_gamma 90.00
_symmetry_space_group_name_H-M 'P 4/m m m'
_symmetry_Int_Tables_number 123
_symmetry_space_group_name_Hall '-P 4 2'
loop_
_atom_site_label
_atom_site_fract_x
_atom_site_fract_y
_atom_site_fract_z
_atom_site_occupancy
Cs1 0.000 0.000 0.000 1
Tl1 0.000 0.500 0.500 1
Os1 0.000 0.000 0.500 1
Se1 0.500 0.500 0.000 1
```

Properties
The value obtained for the density of states at the Fermi level is 4.407 states/eV/f.u. The uncorrected formation energy comes out at 0.533 eV/atom.


Below is a PBEsol-optimized structure of Ba3InB3O9, with properties calculated at the meta-GGA SCAN level.

CIF file:
```
data_Ba3InB3O9
_chemical_formula_sum 'Ba18 In6 B18 O54'
_cell_length_a 12.7204
_cell_length_b 12.7204
_cell_length_c 9.4114
_cell_angle_alpha 90.00
_cell_angle_beta 90.00
_cell_angle_gamma 120.00
_symmetry_space_group_name_H-M 'R -3'
_symmetry_Int_Tables_number 148
_symmetry_space_group_name_Hall '-R 3'
loop_
_atom_site_label
_atom_site_fract_x
_atom_site_fract_y
_atom_site_fract_z
_atom_site_occupancy
Ba1 0.0388 0.4704 0.3049 1
In1 0.0000 0.0000 0.0000 1
In2 0.0000 0.0000 0.5000 1
B1 0.0553 0.1861 0.2349 1
O1 0.0114 0.2585 0.1853 1
O2 0.0298 0.8821 0.1461 1
O3 0.0499 0.1635 0.3809 1
```

Properties
The value obtained for the density of states at the Fermi level is 0.000 states/eV/f.u. The uncorrected formation energy comes out at -2.831 eV/atom.


Below is a PBEsol-optimized structure of CuRh2Br, with properties calculated at the meta-GGA SCAN level.

CIF file:
```
data_CuRh2Br
_chemical_formula_sum 'Cu1 Rh2 Br1'
_cell_length_a 3.069
_cell_length_b 3.069
_cell_length_c 6.050
_cell_angle_alpha 90.00
_cell_angle_beta 90.00
_cell_angle_gamma 90.00
_symmetry_space_group_name_H-M 'P 4/m m m'
_symmetry_Int_Tables_number 123
_symmetry_space_group_name_Hall '-P 4 2'
loop_
_atom_site_label
_atom_site_fract_x
_atom_site_fract_y
_atom_site_fract_z
_atom_site_occupancy
Cu1 0.000 0.000 0.000 1
Rh1 0.500 0.500 0.230 1
Br1 0.000 0.000 0.500 1
```

Properties
The value obtained for the density of states at the Fermi level is 3.304 states/eV/f.u. The uncorrected formation energy comes out at 0.505 eV/atom.


| no. | M_tot (μB per cell) |
| --- | --- |
| 1 | 0.00 |
| 2 | 0.00 |
| 3 | 0.94 |
| 4 | 0.00 |
| 5 | 0.00 |
| 6 | 0.00 |
| 7 | 0.00 |
| 8 | 6.01 |
| 9 | 1.42 |
| 10 | 0.65 |
| 11 | 0.00 |
| 12 | 0.77 |